(1)
Below is crystalline Zr2TePd at its relaxed geometry, with properties calculated at the PBE level.

The structure belongs to space group I-42d (No. 122); the cell edges are 7.628, 7.628 and 6.122 Å and the angles 90.00°, 90.00° and 90.00°. Symmetry generates all atoms from Zr at (0.231, 0.250, 0.125), Te at (0.000, 0.000, 0.500) and Pd at (0.000, 0.000, 0.000).

For the uncorrected formation energy, the calculation gives -0.362 eV/atom. As for the density of states at the Fermi level: 3.38 states/eV/f.u. The calculated volume is 22.260 Å³/atom.



(2)
Below is crystalline CsPSeBr2 at its relaxed geometry, with properties calculated at the PBE level.

The structure belongs to space group P4/mmm (No. 123); the cell edges are 6.465, 6.465 and 5.904 Å and the angles 90.00°, 90.00° and 90.00°. Symmetry generates all atoms from Cs at (0.000, 0.000, 0.000), P at (0.500, 0.500, 0.500), Se at (0.000, 0.000, 0.500) and Br at (0.000, 0.500, 0.000).

For the uncorrected formation energy, the calculation gives 0.869 eV/atom. As for the density of states at the Fermi level: 15.03 states/eV/f.u. The calculated volume is 49.354 Å³/atom.



(3)
Below is crystalline Pm4Pr4Th at its relaxed geometry, with properties calculated at the PBE level.

The structure belongs to space group I4/mmm (No. 139); the cell edges are 11.006, 11.006 and 5.208 Å and the angles 90.00°, 90.00° and 90.00°. Symmetry generates all atoms from Pm at (0.000, 0.331, 0.000), Pr at (0.162, 0.162, 0.500) and Th at (0.000, 0.000, 0.000).

The value obtained for the energy relative to the elements is 30 kJ/mol of formula units. As for the density of states at the Fermi level: 14.20 states/eV/f.u. The calculated volume is 35.050 Å³/atom.



(4)
Below is crystalline MnHgS2 at its relaxed geometry, with properties calculated at the PBE level.

The structure belongs to space group Pnma (No. 62); the cell edges are 7.068, 3.645 and 14.955 Å and the angles 90.00°, 90.00° and 90.00°. Symmetry generates all atoms from Mn at (0.008, 0.250, 0.063), Hg at (0.017, 0.250, 0.695), S at (0.165, 0.250, 0.937) and S at (0.171, 0.250, 0.178).

For the uncorrected formation energy, the calculation gives -0.189 eV/atom. As for the density of states at the Fermi level: 1.89 states/eV/f.u. The calculated volume is 24.081 Å³/atom.



(5)
Below is crystalline DyHoHgPt at its relaxed geometry, with properties calculated at the PBE level.

The structure belongs to space group F-43m (No. 216); the cell edges are 7.186, 7.186 and 7.186 Å and the angles 90.00°, 90.00° and 90.00°. Symmetry generates all atoms from Dy at (0.000, 0.000, 0.000), Ho at (0.000, 0.000, 0.500), Hg at (0.250, 0.250, 0.250) and Pt at (0.250, 0.250, 0.750).

The value obtained for the energy relative to the elements is -319 kJ/mol of formula units. As for the density of states at the Fermi level: 2.46 states/eV/f.u. The calculated volume is 23.192 Å³/atom.



(6)
Below is crystalline Ba4IrI2Cl at its relaxed geometry, with properties calculated at the PBE level.

The structure belongs to space group P2/m (No. 10); the cell edges are 8.336, 4.595 and 8.873 Å and the angles 90.00°, 104.94° and 90.00°. Symmetry generates all atoms from Ba at (0.216, 0.000, 0.198), Ba at (0.230, 0.500, 0.793), Ir at (0.000, 0.500, 0.000), I at (0.000, 0.000, 0.500), I at (0.500, 0.500, 0.500) and Cl at (0.500, 0.000, 0.000).

For the uncorrected formation energy, the calculation gives -1.209 eV/atom. As for the density of states at the Fermi level: 4.41 states/eV/f.u. The calculated volume is 41.048 Å³/atom.



(7)
Below is crystalline PrPuZr at its relaxed geometry, with properties calculated at the PBE level.

The structure belongs to space group P3m1 (No. 156); the cell edges are 3.3875, 3.3875 and 8.3827 Å and the angles 90.00°, 90.00° and 120.00°. Symmetry generates all atoms from Pr at (0.0000, 0.0000, 0.0000), Pu at (0.6667, 0.3333, 0.3564) and Zr at (0.3333, 0.6667, 0.6581).

The value obtained for the energy relative to the elements is 63 kJ/mol of formula units. As for the density of states at the Fermi level: 8.62 states/eV/f.u. The calculated volume is 27.769 Å³/atom.



(8)
Below is crystalline CaTa2MnCo at its relaxed geometry, with properties calculated at the PBE level.

The structure belongs to space group P4/mmm (No. 123); the cell edges are 4.723, 4.723 and 4.009 Å and the angles 90.00°, 90.00° and 90.00°. Symmetry generates all atoms from Ca at (0.000, 0.000, 0.000), Ta at (0.000, 0.500, 0.000), Mn at (0.000, 0.000, 0.500) and Co at (0.500, 0.500, 0.500).

The value obtained for the energy relative to the elements is 1304 kJ/mol of formula units. As for the density of states at the Fermi level: 7.47 states/eV/f.u. The calculated volume is 17.888 Å³/atom.



(9)
Below is crystalline ScTaAs2Se at its relaxed geometry, with properties calculated at the PBE level.

The structure belongs to space group P4/mmm (No. 123); the cell edges are 4.994, 4.994 and 4.963 Å and the angles 90.00°, 90.00° and 90.00°. Symmetry generates all atoms from Sc at (0.000, 0.000, 0.000), Ta at (0.500, 0.500, 0.500), As at (0.000, 0.500, 0.500) and Se at (0.500, 0.500, 0.000).

For the uncorrected formation energy, the calculation gives -0.044 eV/atom. As for the density of states at the Fermi level: 3.08 states/eV/f.u. The calculated volume is 24.759 Å³/atom.



(10)
Below is crystalline Tl2In2Hg at its relaxed geometry, with properties calculated at the PBE level.

The structure belongs to space group P4/mbm (No. 127); the cell edges are 9.091, 9.091 and 3.691 Å and the angles 90.00°, 90.00° and 90.00°. Symmetry generates all atoms from Tl at (0.174, 0.326, 0.000), In at (0.126, 0.626, 0.500) and Hg at (0.000, 0.000, 0.000).

The value obtained for the energy relative to the elements is 36 kJ/mol of formula units. As for the density of states at the Fermi level: 1.92 states/eV/f.u. The calculated volume is 30.504 Å³/atom.



(11)
Below is crystalline LaTb2Ho5 at its relaxed geometry, with properties calculated at the PBE level.

The structure belongs to space group Pbam (No. 55); the cell edges are 7.128, 14.257 and 10.086 Å and the angles 90.00°, 90.00° and 90.00°. Symmetry generates all atoms from La at (0.249, 0.126, 0.000), Tb at (0.000, 0.500, 0.254), Tb at (0.249, 0.125, 0.500), Ho at (0.000, 0.000, 0.254), Ho at (0.001, 0.750, 0.255), Ho at (0.249, 0.375, 0.000) and Ho at (0.249, 0.375, 0.500).

The value obtained for the energy relative to the elements is 20 kJ/mol of formula units. As for the density of states at the Fermi level: 10.81 states/eV/f.u. The calculated volume is 32.031 Å³/atom.



(12)
Below is crystalline La3BeO6 at its relaxed geometry, with properties calculated at the PBE level.

The structure belongs to space group Cmc2_1 (No. 36); the cell edges are 9.504, 11.520 and 5.581 Å and the angles 90.00°, 90.00° and 90.00°. Symmetry generates all atoms from La at (0.000, 0.108, 0.000), La at (0.203, 0.383, 0.048), Be at (0.000, 0.304, 0.577), O at (0.000, 0.287, 0.277), O at (0.000, 0.452, 0.558), O at (0.139, 0.250, 0.728) and O at (0.157, 0.011, 0.280).

For the uncorrected formation energy, the calculation gives -3.022 eV/atom. As for the density of states at the Fermi level: 0.98 states/eV/f.u. The calculated volume is 15.275 Å³/atom.



Number 1: electronic total energy -6.720 eV per atom. Number 2: electronic total energy -1.750 eV per atom. Number 3: electronic total energy -5.026 eV per atom. Number 4: electronic total energy -4.621 eV per atom. Number 5: electronic total energy -4.706 eV per atom. Number 6: electronic total energy -3.896 eV per atom. Number 7: electronic total energy -9.002 eV per atom. Number 8: electronic total energy -5.694 eV per atom. Number 9: electronic total energy -6.238 eV per atom. Number 10: electronic total energy -2.028 eV per atom. Number 11: electronic total energy -4.609 eV per atom. Number 12: electronic total energy -7.848 eV per atom.